Entry 1:
Crystalline CaFe3 at its relaxed geometry. Source: the Alexandria database, functional PBE.

abc: 6.2552 6.2552 4.2021
angles: 90.00 90.00 120.00
Space group P6_3/mmc (No. 194)
Symmetry-distinct sites (fractional):
Ca (0.3333, 0.6667, 0.2500) (multiplicity 2)
Fe (0.1286, 0.2573, 0.7500) (multiplicity 6)

Summary:
E = -51.8 eV for the cell shown
DFT formation energy = 36.13 kJ per mole of atoms
Density of states at the Fermi level = 4.4 states/eV/f.u.



Entry 2:
Crystalline Ca7Fe6 at its relaxed geometry. Source: the Alexandria database, functional PBE.

abc: 6.4702 6.4702 32.1267
angles: 90.00 90.00 120.00
Space group R-3m (No. 166, hexagonal axes)
Symmetry-distinct sites (fractional):
Ca (0.0000, 0.0000, 0.0000) (multiplicity 3)
Ca (0.0005, 0.5002, 0.4325) (multiplicity 18)
Fe (0.0000, 0.0000, 0.1665) (multiplicity 6)
Fe (0.0000, 0.0000, 0.3948) (multiplicity 6)
Fe (0.0000, 0.0000, 0.4620) (multiplicity 6)

Summary:
E = -156.9 eV for the cell shown
DFT formation energy = 92.74 kJ per mole of atoms
Density of states at the Fermi level = 19.1 states/eV/f.u.



Entry 3:
Crystalline Ca5Fe at its relaxed geometry. Source: the Alexandria database, functional PBE.

abc: 5.9040 3.8336 18.5018
angles: 90.00 90.00 90.00
Space group Amm2 (No. 38)
Symmetry-distinct sites (fractional):
Ca (0.0000, 0.0000, 0.0000) (multiplicity 2)
Ca (0.0000, 0.0000, 0.2805) (multiplicity 2)
Ca (0.5000, 0.0000, 0.1042) (multiplicity 2)
Ca (0.5000, 0.0000, 0.4273) (multiplicity 2)
Ca (0.5000, 0.0000, 0.7568) (multiplicity 2)
Fe (0.0000, 0.0000, 0.6435) (multiplicity 2)

Summary:
E = -32.8 eV for the cell shown
DFT formation energy = 33.25 kJ per mole of atoms
Density of states at the Fermi level = 9.0 states/eV/f.u.
Distance to the lowest polymorph of the same formula = 14 meV per atom



Entry 4:
Crystalline Ca3GaFe at its relaxed geometry. Source: the Alexandria database, functional PBE.

abc: 5.3220 5.3220 5.3220
angles: 90.00 90.00 90.00
Space group Pm-3m (No. 221)
Symmetry-distinct sites (fractional):
Ca (0.0000, 0.0000, 0.5000) (multiplicity 3)
Ga (0.5000, 0.5000, 0.5000) (multiplicity 1)
Fe (0.0000, 0.0000, 0.0000) (multiplicity 1)

Summary:
E = -15.4 eV for the cell shown
DFT formation energy = 41.01 kJ per mole of atoms
Density of states at the Fermi level = 9.3 states/eV/f.u.
Distance to the lowest polymorph of the same formula = 0 meV per atom



Entry 5:
Crystalline CaGa6Fe6 at its relaxed geometry. Source: the Alexandria database, functional PBE.

abc: 5.0252 8.5191 8.6715
angles: 90.00 90.00 90.00
Space group Immm (No. 71)
Symmetry-distinct sites (fractional):
Ca (0.0000, 0.0000, 0.0000) (multiplicity 2)
Ga (0.0000, 0.0000, 0.3430) (multiplicity 4)
Ga (0.0000, 0.3255, 0.0000) (multiplicity 4)
Ga (0.0000, 0.5000, 0.3185) (multiplicity 4)
Fe (0.0000, 0.2542, 0.5000) (multiplicity 4)
Fe (0.2500, 0.2500, 0.2500) (multiplicity 8)

Summary:
E = -148.3 eV for the cell shown
DFT formation energy = -23.71 kJ per mole of atoms
Density of states at the Fermi level = 5.2 states/eV/f.u.



Entry 6:
Crystalline CaGa2Fe2 at its relaxed geometry. Source: the Alexandria database, functional PBE.

abc: 7.5217 7.5217 2.7392
angles: 90.00 90.00 90.00
Space group P4/mbm (No. 127)
Symmetry-distinct sites (fractional):
Ca (0.0000, 0.0000, 0.0000) (multiplicity 2)
Ga (0.1375, 0.3625, 0.0000) (multiplicity 4)
Fe (0.1535, 0.6535, 0.5000) (multiplicity 4)

Summary:
E = -49.7 eV for the cell shown
DFT formation energy = 2.49 kJ per mole of atoms
Density of states at the Fermi level = 5.1 states/eV/f.u.



Entry 7:
Crystalline CaInGa2Fe at its relaxed geometry. Source: the Alexandria database, functional PBE.

abc: 4.6520 4.6520 4.9387
angles: 90.00 90.00 90.00
Space group P4/mmm (No. 123)
Symmetry-distinct sites (fractional):
Ca (0.0000, 0.0000, 0.0000) (multiplicity 1)
In (0.5000, 0.5000, 0.0000) (multiplicity 1)
Ga (0.0000, 0.5000, 0.5000) (multiplicity 2)
Fe (0.5000, 0.5000, 0.5000) (multiplicity 1)

Summary:
E = -20.2 eV for the cell shown
DFT formation energy = -18.75 kJ per mole of atoms
Density of states at the Fermi level = 2.2 states/eV/f.u.



Q: Look up the E of the fifth one.
A: -148.3 eV for the cell shown